No. 1
Tb3Pr2Bi2: relaxed, PBE.

POSCAR file:
```
Tb3Pr2Bi2
1.0
4.377 0.000 0.000
-2.189 6.253 0.099
0.000 -3.103 8.325
Pr Bi Tb
2 2 3
Direct
0.130 0.260 0.788
0.870 0.740 0.212
0.830 0.660 0.799
0.170 0.340 0.201
0.625 0.249 0.449
0.375 0.751 0.551
0.500 0.000 0.000
```

Summary:
Formation energy from the elements: -0.49 eV per atom
Space group: No. 12
Crystal system: monoclinic
E: -4.95 eV/atom
DOS at the Fermi energy: 9.0 states/eV per cell



No. 2
CaLa3Ir: relaxed, PBE.

POSCAR file:
```
CaLa3Ir
1.0
7.675 -0.039 0.000
2.932 7.079 -0.002
2.372 -3.556 6.383
Ca La Ir
2 6 2
Direct
0.752 0.494 0.100
0.214 0.639 0.097
0.709 0.039 0.191
0.755 0.093 0.693
0.165 0.188 0.193
0.172 0.582 0.592
0.620 0.638 0.696
0.303 0.049 0.595
0.826 0.725 0.414
0.089 0.962 0.888
```

Summary:
Formation energy from the elements: -0.35 eV per atom
Space group: No. 1
Energy above the lowest structure with this stoichiometry: 1 meV/atom
Crystal system: triclinic
E: -5.48 eV/atom
DOS at the Fermi energy: 16.5 states/eV per cell



No. 3
SbPH3: relaxed, PBE.

POSCAR file:
```
SbPH3
1.0
3.910 0.000 0.000
0.000 3.910 0.000
0.000 0.000 3.910
Sb H P
1 3 1
Direct
0.000 0.000 0.000
0.000 0.000 0.500
0.500 0.000 0.000
0.000 0.500 0.000
0.500 0.500 0.500
```

Summary:
Space group: No. 221
Energy above the lowest structure with this stoichiometry: 257 meV/atom
Crystal system: cubic
E: -2.94 eV/atom
DOS at the Fermi energy: 3.1 states/eV per cell



No. 4
InOsCl2: relaxed, PBE.

POSCAR file:
```
InOsCl2
1.0
-1.199 -2.500 -1.361
0.957 -2.527 3.800
-5.811 0.431 4.332
Os Cl In
1 2 1
Direct
0.500 0.979 0.652
0.500 0.163 0.319
0.000 0.859 0.917
0.000 0.499 0.612
```

Summary:
Formation energy without anion corrections: 0.012 eV per atom
Space group: No. 6
Energy above the lowest structure with this stoichiometry: 0 meV/atom
Crystal system: monoclinic
E: -4.40 eV/atom
DOS at the Fermi energy: 1.6 states/eV per cell



No. 5
PmMgSb2O8: relaxed, PBE.

POSCAR file:
```
PmMgSb2O8
1.0
5.251 0.000 0.000
0.000 5.251 0.000
-2.625 -2.625 5.548
O Pm Sb Mg
8 1 2 1
Direct
0.341 0.903 0.313
0.161 0.611 0.827
0.666 0.215 0.827
0.389 0.334 0.173
0.785 0.839 0.173
0.591 0.659 0.687
0.097 0.028 0.687
0.972 0.409 0.313
0.750 0.250 0.500
0.500 0.500 0.000
0.250 0.750 0.500
0.000 0.000 0.000
```

Summary:
Formation energy without anion corrections: -1.840 eV per atom
Space group: No. 82
Crystal system: tetragonal
E: -6.36 eV/atom
DOS at the Fermi energy: 7.3 states/eV per cell



No. 6
AcHg3Bi3: relaxed, PBE.

POSCAR file:
```
AcHg3Bi3
1.0
8.196 0.000 0.000
0.000 8.196 0.000
0.000 0.000 8.196
Bi Hg Ac
6 6 2
Direct
0.750 0.000 0.500
0.500 0.250 0.000
0.250 0.000 0.500
0.000 0.500 0.250
0.500 0.750 0.000
0.000 0.500 0.750
0.000 0.750 0.500
0.500 0.000 0.750
0.750 0.500 0.000
0.500 0.000 0.250
0.000 0.250 0.500
0.250 0.500 0.000
0.000 0.000 0.000
0.500 0.500 0.500
```

Summary:
Formation energy from the elements: 0.24 eV per atom
Space group: No. 223
Crystal system: cubic
E: -2.14 eV/atom
DOS at the Fermi energy: 8.5 states/eV per cell